Compound: Ba2ZnW
Source: Alexandria via LeMat-Bulk
Functional: meta-GGA SCAN
Structure: single point on PBEsol structure

a b c (Å): 3.566 3.566 9.255
angles (deg): 90.00 90.00 90.00
Space group P4mm (No. 99)
Symmetry-distinct sites (fractional):
Ba1 0.000 0.000 0.000 [1 per cell]
Ba2 0.500 0.500 0.414 [1 per cell]
Zn1 0.500 0.500 0.750 [1 per cell]
W1 0.000 0.000 0.673 [1 per cell]



Compound: Gd2CdPd2
Source: Alexandria via LeMat-Bulk
Functional: meta-GGA SCAN
Structure: single point on PBEsol structure

a b c (Å): 7.601 7.601 3.734
angles (deg): 90.00 90.00 90.00
Space group P4/mbm (No. 127)
Symmetry-distinct sites (fractional):
Gd1 0.172 0.328 0.000 [4 per cell]
Cd1 0.000 0.000 0.500 [2 per cell]
Pd1 0.129 0.629 0.500 [4 per cell]



Number 1: E_form 17.150 kcal/mol of atoms, size of the total moment 0.001 μB per formula unit. Number 2: E_form -18.538 kcal/mol of atoms, size of the total moment 14.916 μB per formula unit.